Entry 1:
Here is Zr2NiAs after structural relaxation from Alexandria via LeMat-Bulk. Energies are from PBE.

The space-group type is Amm2. For the formation energy, the calculation gives -0.824 eV/atom.

Unit cell a=3.788 b=3.725 c=10.148 alpha=90.00 beta=90.00 gamma=90.00
Fractional coordinates of all 8 atoms:
Zr 0.000 0.000 0.000
Zr 0.000 0.500 0.500
Zr 0.500 0.000 0.296
Zr 0.500 0.500 0.796
Ni 0.000 0.000 0.726
Ni 0.000 0.500 0.226
As 0.500 0.000 0.576
As 0.500 0.500 0.076

---

Entry 2:
Here is Ca2EuBi after structural relaxation from Alexandria via LeMat-Bulk. Energies are from PBE.

The space-group type is P4/mmm. For the formation energy, the calculation gives -0.401 eV/atom.

Unit cell a=4.403 b=4.403 c=7.269 alpha=90.00 beta=90.00 gamma=90.00
Fractional coordinates of all 4 atoms:
Ca 0.000 0.000 0.222
Ca 0.000 0.000 0.778
Eu 0.500 0.500 0.500
Bi 0.500 0.500 0.000

---

Entry 3:
Here is RbAc2AgSe4 after structural relaxation from Alexandria via LeMat-Bulk. Energies are from PBE.

The formation energy without anion corrections comes out at -1576.6 meV per atom. The space-group type is Cmcm.

Unit cell a=7.938 b=7.938 c=15.562 alpha=90.00 beta=90.00 gamma=146.89
Fractional coordinates of all 16 atoms:
Rb 0.114 0.886 0.750
Rb 0.886 0.114 0.250
Ac 0.367 0.633 0.564
Ac 0.367 0.633 0.936
Ac 0.633 0.367 0.064
Ac 0.633 0.367 0.436
Ag 0.159 0.841 0.250
Ag 0.841 0.159 0.750
Se 0.000 0.000 0.000
Se 0.000 0.000 0.500
Se 0.264 0.736 0.110
Se 0.264 0.736 0.390
Se 0.439 0.561 0.750
Se 0.561 0.439 0.250
Se 0.736 0.264 0.610
Se 0.736 0.264 0.890

---

Entry 4:
Here is Dy2ErZn2 after structural relaxation from Alexandria via LeMat-Bulk. Energies are from PBE.

The space-group type is P2_1/m. For the formation energy, the calculation gives -0.269 eV/atom.

Unit cell a=3.595 b=5.114 c=13.276 alpha=90.00 beta=97.81 gamma=90.00
Fractional coordinates of all 10 atoms:
Dy 0.046 0.250 0.092
Dy 0.232 0.250 0.465
Dy 0.768 0.750 0.535
Dy 0.954 0.750 0.908
Er 0.144 0.750 0.288
Er 0.856 0.250 0.712
Zn 0.360 0.750 0.721
Zn 0.450 0.250 0.900
Zn 0.550 0.750 0.100
Zn 0.640 0.250 0.279

---

| no. | DOS(E_F) (states/eV/cell) |
| --- | --- |
| 1 | 6.92 |
| 2 | 9.68 |
| 3 | 0.00 |
| 4 | 9.86 |